The following is a DFT calculation (PBE-GGA) of crystalline Cu3NiBi at its relaxed geometry.

Its total magnetization is 0.69 μB per formula unit. The calculated formation energy comes out at 1.30 eV/atom.

The structure belongs to space group Pm-3m (No. 221); the cell edges are 4.9064, 4.9064 and 4.9064 Å and the angles 90.00°, 90.00° and 90.00°. The inequivalent atoms are Cu at (0.0000, 0.0000, 0.5000), Ni at (0.5000, 0.5000, 0.5000) and Bi at (0.0000, 0.0000, 0.0000).